Here is a geometry-optimized NdCF structure from the Open Quantum Materials Database. Energies are from PBE-GGA.

a = 3.8277 Å, b = 4.0279 Å, c = 6.7830 Å
α = 97.39°, β = 90.19°, γ = 117.85°
Space group P-1 (No. 2)
Symmetry-distinct sites (fractional):
1 Nd 0.1598 0.3219 0.2289 (multiplicity 2)
2 C 0.4296 0.8603 0.0559 (multiplicity 2)
3 F 0.1846 0.3645 0.6008 (multiplicity 2)

Results
* V: 15.24 A^3/atom
* electronic total energy: -43.2 eV per cell